Below is an optimized crystal structure of CoRhW2, with properties calculated at the GGA-PBE level.

```
CoRhW2
1.0
4.7043 -0.0173 -0.0128
1.5551 4.4398 0.0161
-3.1205 -2.2223 2.7326
Co W Rh
1 2 1
Cartesian
3.1310 2.2092 0.0016
2.3557 -0.0125 1.3607
1.5563 4.4383 0.0161
0.7807 2.2163 1.3752
```

Results
calculated formation energy	109	meV per atom
relative energy among the computed polymorphs	0.155	eV/atom
DOS(E_F)	1.260	states/eV/atom
SG	F222, No. 22



Below is an optimized crystal structure of CoRhW, with properties calculated at the GGA-PBE level.

```
CoRhW
1.0
-1.5053 -1.9359 3.1854
2.4754 -1.6378 2.7111
0.3160 1.6153 3.6676
Co W Rh
1 1 1
Cartesian
0.9646 -1.4688 7.1730
0.6431 -0.9792 4.7820
0.0000 0.0000 0.0000
```

Results
calculated formation energy	521	meV per atom
relative energy among the computed polymorphs	0.573	eV/atom
DOS(E_F)	0.921	states/eV/atom
SG	F-43m, No. 216



Below is an optimized crystal structure of Zr2CoRhW, with properties calculated at the GGA-PBE level.

```
Zr2CoRhW
1.0
4.9911 0.0000 0.0000
0.0000 4.6424 0.0000
0.0000 0.0000 4.9911
Zr Rh Co W
2 1 1 1
Cartesian
2.4955 0.0000 0.0000
0.0000 0.0000 2.4955
0.0000 0.0000 0.0000
2.4955 2.3212 2.4955
0.0000 2.3212 0.0000
```

Results
calculated formation energy	1134	meV per atom
DOS(E_F)	1.479	states/eV/atom
SG	P4/mmm, No. 123